The following is a PBE calculation of an optimized crystal structure of DyY3Ho2Se6, from Alexandria.

Lattice parameters (Å, degrees): 7.059 7.059 7.071 99.54 99.54 120.34
Fractional positions:
Y (0.834, 0.166, 0.500)
Y (0.500, 0.500, 0.500)
Y (0.166, 0.834, 0.500)
Ho (0.334, 0.666, 0.000)
Ho (0.666, 0.334, 0.000)
Se (0.417, 0.082, 0.248)
Se (0.918, 0.583, 0.752)
Se (0.082, 0.417, 0.248)
Se (0.748, 0.748, 0.247)
Se (0.252, 0.252, 0.753)
Se (0.583, 0.918, 0.752)
Dy (0.000, 0.000, 0.000)

Its size of the total moment is 0.00 μB per formula unit. As for the symmetry: C2/m (12). For the total energy, the calculation gives -0.460 Ry per atom. The calculation puts the uncorrected formation energy at -1.749 eV per atom.

The following is a PBE calculation of an optimized crystal structure of In5Ag, from Alexandria.

Lattice parameters (Å, degrees): 7.118 7.118 7.923 116.69 116.69 90.00
Fractional positions:
In (0.210, 0.013, 0.723)
In (0.987, 0.487, 0.277)
In (0.710, 0.210, 0.723)
In (0.513, 0.710, 0.723)
In (0.487, 0.290, 0.277)
In (0.290, 0.790, 0.277)
In (0.790, 0.987, 0.277)
In (0.500, 0.500, 0.000)
In (0.013, 0.513, 0.723)
In (0.000, 0.000, 0.000)
Ag (0.750, 0.750, 0.500)
Ag (0.250, 0.250, 0.500)

Its size of the total moment is 0.00 μB per formula unit. As for the symmetry: I4/mcm (140). The energy relative to the elements comes out at 0.18 eV/f.u. For the total energy, the calculation gives -0.200 Ry per atom.

The following is a PBE calculation of an optimized crystal structure of K2SbP, from Alexandria.

Lattice parameters (Å, degrees): 4.521 4.524 5.305 90.00 90.00 90.00
Fractional positions:
K (0.500, 0.500, 0.000)
K (0.000, 0.000, 0.000)
Sb (0.000, 0.500, 0.500)
P (0.500, 0.000, 0.500)

Its size of the total moment is 0.00 μB per formula unit. As for the symmetry: P4/mmm (123). For the total energy, the calculation gives -0.220 Ry per atom. The calculation puts the uncorrected formation energy at -0.063 eV per atom.

The following is a PBE calculation of an optimized crystal structure of Pr2Sb4Ir3Au, from Alexandria.

Lattice parameters (Å, degrees): 4.656 4.656 10.468 90.00 90.00 90.00
Fractional positions:
Ir (0.500, 0.000, 0.883)
Ir (0.000, 0.000, 0.500)
Ir (0.000, 0.500, 0.117)
Sb (0.000, 0.000, 0.000)
Sb (0.000, 0.500, 0.364)
Sb (0.500, 0.000, 0.636)
Sb (0.500, 0.500, 0.000)
Pr (0.500, 0.000, 0.253)
Pr (0.000, 0.500, 0.747)
Au (0.500, 0.500, 0.500)

Its size of the total moment is 0.00 μB per formula unit. As for the symmetry: P-4m2 (115). For the total energy, the calculation gives -0.453 Ry per atom. The calculation puts the uncorrected formation energy at -0.577 eV per atom.

The following is a PBE calculation of an optimized crystal structure of TiAl2Zn2, from Alexandria.

Lattice parameters (Å, degrees): 7.353 7.353 2.920 90.00 90.00 90.00
Fractional positions:
Ti (0.500, 0.500, 0.000)
Ti (0.000, 0.000, 0.000)
Al (0.677, 0.823, 0.500)
Al (0.323, 0.177, 0.500)
Al (0.177, 0.677, 0.500)
Al (0.823, 0.323, 0.500)
Zn (0.377, 0.877, 0.000)
Zn (0.623, 0.123, 0.000)
Zn (0.877, 0.623, 0.000)
Zn (0.123, 0.377, 0.000)

Its size of the total moment is 0.00 μB per formula unit. As for the symmetry: P4/mbm (127). The energy relative to the elements comes out at -0.30 eV/f.u. For the total energy, the calculation gives -0.268 Ry per atom.

The following is a PBE calculation of an optimized crystal structure of MgFeSe2, from Alexandria.

Lattice parameters (Å, degrees): 3.303 3.303 6.604 90.00 90.00 90.00
Fractional positions:
Se (0.000, 0.000, 0.487)
Se (0.000, 0.000, 0.013)
Mg (0.500, 0.500, 0.750)
Fe (0.500, 0.500, 0.250)

Its size of the total moment is 3.34 μB per formula unit. As for the symmetry: P4/mmm (123). For the total energy, the calculation gives -0.324 Ry per atom. The calculation puts the uncorrected formation energy at -0.152 eV per atom.

The following is a PBE calculation of an optimized crystal structure of BeHg2P, from Alexandria.

Lattice parameters (Å, degrees): 7.221 7.221 7.221 29.55 29.55 29.55
Fractional positions:
Hg (0.013, 0.013, 0.013)
Hg (0.237, 0.237, 0.237)
Be (0.790, 0.790, 0.790)
P (0.460, 0.460, 0.460)

Its size of the total moment is 0.00 μB per formula unit. As for the symmetry: R3m (160). The energy relative to the elements comes out at 0.29 eV/f.u. For the total energy, the calculation gives -0.174 Ry per atom.

Which value of size of the total moment does entry 6 give? 3.34 μB per formula unit

Which value of size of the total moment does entry 6 give? 3.34 μB per formula unit

What is the size of the total moment in the first record? 0.00 μB per formula unit

Number 6 is which compound? MgFeSe2